# K2Mn2P3

An optimized crystal structure of K2Mn2P3 (PBE, Alexandria via LeMat-Bulk).

Values from the calculation:
density of states at the Fermi level: 0.46 states/eV per atom
calculated formation energy: -7.85 kcal/mol of atoms
symmetry: P2_1/c, No. 14
VASP energy: -5.592 eV/atom

Unit cell a=6.5613 b=6.1341 c=7.4997 alpha=69.79 beta=90.00 gamma=90.00
Fractional coordinates of all 14 atoms:
Mn: 0.4094 0.6494 0.5736
K: 0.5867 0.8174 0.9176
P: 0.8290 0.4122 0.1941
P: 0.3290 0.5878 0.3059
K: 0.0867 0.1826 0.5824
K: 0.4133 0.1826 0.0824
P: 0.5000 0.0000 0.5000
Mn: 0.0906 0.6494 0.0736
K: 0.9133 0.8174 0.4176
P: 0.1710 0.5878 0.8059
Mn: 0.9094 0.3506 0.9264
P: 0.6710 0.4122 0.6941
P: 0.0000 0.0000 0.0000
Mn: 0.5906 0.3506 0.4264